Computed, not measured: an optimized crystal structure of CdInPd3 at the GGA-PBE level of DFT.

V, Å³ per cell: 120.3
Total magnetization, μB per cell: 0.00
Energy relative to the lowest polymorph listed for this composition, eV per atom: 0.864
E, eV/atom: -3.400
ΔE_f, eV per formula unit: 2.2

The structure in CIF format:
```
data_CdInPd3
_space_group_name_H-M_alt 'P 1'
_space_group_IT_number 1
_space_group_name_Hall 'P 1'
_cell_length_a 4.9366
_cell_length_b 4.9366
_cell_length_c 4.9366
_cell_angle_alpha 90.00
_cell_angle_beta 90.00
_cell_angle_gamma 90.00
loop_
_atom_site_label
_atom_site_fract_x
_atom_site_fract_y
_atom_site_fract_z
Cd1 0.5000 0.5000 0.5000
In1 0.0000 0.0000 0.0000
Pd1 0.5000 0.0000 0.0000
Pd2 0.0000 0.0000 0.5000
Pd3 0.0000 0.5000 0.0000
```

Computed, not measured: an optimized crystal structure of LuTi5 at the GGA-PBE level of DFT.

V, Å³ per cell: 114.1
Total magnetization, μB per cell: 0.01
E, eV/atom: -7.165
ΔE_f, eV per formula unit: 1.0

The structure in CIF format:
```
data_LuTi5
_space_group_name_H-M_alt 'P 1'
_space_group_IT_number 1
_space_group_name_Hall 'P 1'
_cell_length_a 4.1405
_cell_length_b 4.1393
_cell_length_c 6.9716
_cell_angle_alpha 107.27
_cell_angle_beta 90.00
_cell_angle_gamma 90.00
loop_
_atom_site_label
_atom_site_fract_x
_atom_site_fract_y
_atom_site_fract_z
Lu1 0.0000 0.0000 0.0000
Ti1 0.5000 0.8246 0.6492
Ti2 0.0000 0.6777 0.3554
Ti3 0.5000 0.5000 0.0000
Ti4 0.0000 0.3223 0.6446
Ti5 0.5000 0.1754 0.3508
```

Computed, not measured: an optimized crystal structure of Cr3CuAg at the GGA-PBE level of DFT.

V, Å³ per cell: 80.1
Total magnetization, μB per cell: 0.31
Energy relative to the lowest polymorph listed for this composition, eV per atom: 0.000
E, eV/atom: -5.465
ΔE_f, eV per formula unit: 8.5

The structure in CIF format:
```
data_Cr3CuAg
_space_group_name_H-M_alt 'P 1'
_space_group_IT_number 1
_space_group_name_Hall 'P 1'
_cell_length_a 4.3107
_cell_length_b 4.3107
_cell_length_c 4.3107
_cell_angle_alpha 90.00
_cell_angle_beta 90.00
_cell_angle_gamma 90.00
loop_
_atom_site_label
_atom_site_fract_x
_atom_site_fract_y
_atom_site_fract_z
Ag1 0.5000 0.5000 0.5000
Cu1 0.0000 0.0000 0.0000
Cr1 0.5000 0.0000 0.0000
Cr2 0.0000 0.5000 0.0000
Cr3 0.0000 0.0000 0.5000
```

Computed, not measured: an optimized crystal structure of FeNi12Pt2 at the GGA-PBE level of DFT.

V, Å³ per cell: 371.1
Total magnetization, μB per cell: 0.18
E, eV/atom: -5.636
ΔE_f, eV per formula unit: 5.4

The structure in CIF format:
```
data_FeNi12Pt2
_space_group_name_H-M_alt 'P 1'
_space_group_IT_number 1
_space_group_name_Hall 'P 1'
_cell_length_a 4.7271
_cell_length_b 4.7271
_cell_length_c 16.6081
_cell_angle_alpha 90.00
_cell_angle_beta 90.00
_cell_angle_gamma 90.00
loop_
_atom_site_label
_atom_site_fract_x
_atom_site_fract_y
_atom_site_fract_z
Ni1 0.8265 0.3265 0.5631
Pt1 0.5000 0.0000 0.7268
Ni2 0.0000 0.0000 0.6600
Ni3 0.2487 0.7487 0.0974
Ni4 0.7487 0.2487 0.9026
Ni5 0.6735 0.1735 0.4369
Ni6 0.0000 0.0000 0.7984
Ni7 0.3265 0.1735 0.5631
Ni8 0.0000 0.0000 0.3400
Fe1 0.5000 0.0000 0.0000
Ni9 0.3265 0.8265 0.4369
Ni10 0.1735 0.6735 0.5631
Ni11 0.2513 0.7513 0.9026
Ni12 0.7513 0.7487 0.9026
Ni13 0.5000 0.5000 0.7984
Ni14 0.7487 0.7513 0.0974
Ni15 0.2487 0.2513 0.9026
Pt2 0.5000 0.0000 0.2732
Ni16 0.0000 0.0000 0.2016
Ni17 0.1735 0.3265 0.4369
Ni18 0.6735 0.8265 0.5631
Pt3 0.0000 0.5000 0.2732
Ni19 0.5000 0.5000 0.6600
Ni20 0.7513 0.2513 0.0974
Ni21 0.5000 0.5000 0.3400
Ni22 0.5000 0.5000 0.2016
Ni23 0.8265 0.6735 0.4369
Ni24 0.2513 0.2487 0.0974
Pt4 0.0000 0.5000 0.7268
Fe2 0.0000 0.5000 0.0000
```

Computed, not measured: an optimized crystal structure of CeNiAgHg at the GGA-PBE level of DFT.

V, Å³ per cell: 81.6
Total magnetization, μB per cell: 0.47
E, eV/atom: -3.821
ΔE_f, eV per formula unit: -0.4

The structure in CIF format:
```
data_CeNiAgHg
_space_group_name_H-M_alt 'P 1'
_space_group_IT_number 1
_space_group_name_Hall 'P 1'
_cell_length_a 4.8678
_cell_length_b 4.8678
_cell_length_c 4.8678
_cell_angle_alpha 60.00
_cell_angle_beta 60.00
_cell_angle_gamma 60.00
loop_
_atom_site_label
_atom_site_fract_x
_atom_site_fract_y
_atom_site_fract_z
Ce1 0.0000 0.0000 0.0000
Hg1 0.5000 0.5000 0.5000
Ag1 0.2500 0.2500 0.2500
Ni1 0.7500 0.7500 0.7500
```

Computed, not measured: an optimized crystal structure of Tl3ZnO at the GGA-PBE level of DFT.

V, Å³ per cell: 144.6
Total magnetization, μB per cell: 0.00
Energy relative to the lowest polymorph listed for this composition, eV per atom: 0.463
E, eV/atom: -2.222
Formation energy (no corrections), eV per atom: 0.444

The structure in CIF format:
```
data_Tl3ZnO
_space_group_name_H-M_alt 'P 1'
_space_group_IT_number 1
_space_group_name_Hall 'P 1'
_cell_length_a 5.2487
_cell_length_b 5.2487
_cell_length_c 5.2487
_cell_angle_alpha 90.00
_cell_angle_beta 90.00
_cell_angle_gamma 90.00
loop_
_atom_site_label
_atom_site_fract_x
_atom_site_fract_y
_atom_site_fract_z
Tl1 0.0000 0.0000 0.5000
O1 0.5000 0.5000 0.5000
Tl2 0.0000 0.5000 0.0000
Zn1 0.0000 0.0000 0.0000
Tl3 0.5000 0.0000 0.0000
```

Computed, not measured: an optimized crystal structure of Ac4InCu3O12 at the GGA-PBE level of DFT.

V, Å³ per cell: 258.0
Total magnetization, μB per cell: 0.00
E, eV/atom: -6.601
Formation energy (no corrections), eV per atom: -2.053

The structure in CIF format:
```
data_Ac4InCu3O12
_space_group_name_H-M_alt 'P 1'
_space_group_IT_number 1
_space_group_name_Hall 'P 1'
_cell_length_a 6.9461
_cell_length_b 6.9461
_cell_length_c 6.9461
_cell_angle_alpha 109.47
_cell_angle_beta 109.47
_cell_angle_gamma 109.47
loop_
_atom_site_label
_atom_site_fract_x
_atom_site_fract_y
_atom_site_fract_z
Cu1 0.5000 0.0000 0.5000
O1 0.2610 0.0000 0.2610
O2 0.5000 0.7500 0.2500
O3 0.7500 0.5000 0.2500
O4 0.7390 0.7390 0.0000
Cu2 0.5000 0.5000 0.0000
Ac1 0.0000 0.0000 0.5000
O5 0.2500 0.5000 0.7500
Ac2 0.5000 0.0000 0.0000
O6 0.0000 0.7390 0.7390
O7 0.5000 0.2500 0.7500
O8 0.2610 0.2610 0.0000
Ac3 0.0000 0.5000 0.0000
O9 0.0000 0.2610 0.2610
O10 0.7500 0.2500 0.5000
Ac4 0.5000 0.5000 0.5000
Cu3 0.0000 0.5000 0.5000
O11 0.7390 0.0000 0.7390
In1 0.0000 0.0000 0.0000
O12 0.2500 0.7500 0.5000
```

Computed, not measured: an optimized crystal structure of Tm2Al3Pt4 at the GGA-PBE level of DFT.

V, Å³ per cell: 318.6
Total magnetization, μB per cell: 0.00
E, eV/atom: -6.129
ΔE_f, eV per formula unit: -10.8

The structure in CIF format:
```
data_Tm2Al3Pt4
_space_group_name_H-M_alt 'P 1'
_space_group_IT_number 1
_space_group_name_Hall 'P 1'
_cell_length_a 5.5648
_cell_length_b 7.5406
_cell_length_c 8.0858
_cell_angle_alpha 90.00
_cell_angle_beta 110.13
_cell_angle_gamma 90.00
loop_
_atom_site_label
_atom_site_fract_x
_atom_site_fract_y
_atom_site_fract_z
Tm1 0.3952 0.0930 0.7904
Pt1 0.1813 0.9714 0.3627
Tm2 0.6048 0.9070 0.2096
Pt2 0.6813 0.5286 0.3627
Al1 0.4791 0.2500 0.4583
Pt3 0.1900 0.7500 0.8800
Tm3 0.8952 0.4070 0.7904
Pt4 0.3187 0.4714 0.6373
Al2 0.0000 0.0000 0.0000
Al3 0.5209 0.7500 0.5417
Pt5 0.8100 0.2500 0.1200
Al4 0.5000 0.5000 0.0000
Pt6 0.6900 0.7500 0.8800
Pt7 0.8187 0.0286 0.6373
Pt8 0.3100 0.2500 0.1200
Al5 0.0209 0.7500 0.5417
Tm4 0.1048 0.5930 0.2096
Al6 0.9791 0.2500 0.4583
```

Computed, not measured: an optimized crystal structure of Fe8Co2Si at the GGA-PBE level of DFT.

V, Å³ per cell: 144.5
Total magnetization, μB per cell: 21.86
Energy relative to the lowest polymorph listed for this composition, eV per atom: 0.418
E, eV/atom: -7.620
Formation energy (no corrections), eV per atom: 0.320

The structure in CIF format:
```
data_Fe8Co2Si
_space_group_name_H-M_alt 'P 1'
_space_group_IT_number 1
_space_group_name_Hall 'P 1'
_cell_length_a 4.0494
_cell_length_b 6.0864
_cell_length_c 6.0864
_cell_angle_alpha 83.33
_cell_angle_beta 79.50
_cell_angle_gamma 79.50
loop_
_atom_site_label
_atom_site_fract_x
_atom_site_fract_y
_atom_site_fract_z
Fe1 0.8853 0.2688 0.2688
Fe2 0.1875 0.3487 0.8423
Fe3 0.2973 0.4218 0.4218
Co1 0.4535 0.1371 0.1371
Co2 0.5465 0.8629 0.8629
Si1 0.0000 0.0000 0.0000
Fe4 0.8125 0.6513 0.1577
Fe5 0.7027 0.5782 0.5782
Fe6 0.1875 0.8423 0.3487
Fe7 0.8125 0.1577 0.6513
Fe8 0.1147 0.7312 0.7312
```

Computed, not measured: an optimized crystal structure of KI2OF at the GGA-PBE level of DFT.

V, Å³ per cell: 145.9
Total magnetization, μB per cell: 1.36
Energy relative to the lowest polymorph listed for this composition, eV per atom: 0.000
E, eV/atom: -2.444
Formation energy (no corrections), eV per atom: -0.238

The structure in CIF format:
```
data_KI2OF
_space_group_name_H-M_alt 'P 1'
_space_group_IT_number 1
_space_group_name_Hall 'P 1'
_cell_length_a 4.9613
_cell_length_b 4.9613
_cell_length_c 5.9254
_cell_angle_alpha 90.00
_cell_angle_beta 90.00
_cell_angle_gamma 90.00
loop_
_atom_site_label
_atom_site_fract_x
_atom_site_fract_y
_atom_site_fract_z
K1 0.5000 0.5000 0.5000
F1 0.0000 0.0000 0.0000
I1 0.5000 0.0000 0.0000
I2 0.0000 0.5000 0.0000
O1 0.0000 0.0000 0.5000
```

Computed, not measured: an optimized crystal structure of BaBeIn2Hg at the GGA-PBE level of DFT.

V, Å³ per cell: 166.6
Total magnetization, μB per cell: 0.00
E, eV/atom: -2.057
ΔE_f, eV per formula unit: 1.1

The structure in CIF format:
```
data_BaBeIn2Hg
_space_group_name_H-M_alt 'P 1'
_space_group_IT_number 1
_space_group_name_Hall 'P 1'
_cell_length_a 5.8907
_cell_length_b 5.8907
_cell_length_c 4.8025
_cell_angle_alpha 90.00
_cell_angle_beta 90.00
_cell_angle_gamma 90.00
loop_
_atom_site_label
_atom_site_fract_x
_atom_site_fract_y
_atom_site_fract_z
In1 0.0000 0.5000 0.0000
In2 0.5000 0.0000 0.0000
Hg1 0.0000 0.0000 0.0000
Ba1 0.5000 0.5000 0.5000
Be1 0.0000 0.0000 0.5000
```

Computed, not measured: an optimized crystal structure of Re2PtAu at the GGA-PBE level of DFT.

V, Å³ per cell: 62.5
Total magnetization, μB per cell: 0.00
Energy relative to the lowest polymorph listed for this composition, eV per atom: 0.313
E, eV/atom: -8.169
ΔE_f, eV per formula unit: 1.5

The structure in CIF format:
```
data_Re2PtAu
_space_group_name_H-M_alt 'P 1'
_space_group_IT_number 1
_space_group_name_Hall 'P 1'
_cell_length_a 3.8766
_cell_length_b 3.8757
_cell_length_c 4.1630
_cell_angle_alpha 90.00
_cell_angle_beta 90.00
_cell_angle_gamma 90.00
loop_
_atom_site_label
_atom_site_fract_x
_atom_site_fract_y
_atom_site_fract_z
Re1 0.5000 0.5000 0.0000
Re2 0.0000 0.0000 0.0000
Pt1 0.0000 0.5000 0.5000
Au1 0.5000 0.0000 0.5000
```

- Which value of E does entry 11 give?
  -2.057 eV/atom